Arrangement A

Here is a geometry-optimized AcAs2Au structure from the Alexandria database. Energies are from PBE-GGA.

Geometry as POSCAR:
```
AcAs2Au
1.0
5.614 0.000 0.000
-2.807 4.862 0.000
0.000 0.000 11.222
Ac As Au
3 6 3
Direct
0.000 0.000 0.000
0.333 0.667 0.667
0.667 0.333 0.333
0.000 0.000 0.279
0.000 0.000 0.721
0.333 0.667 0.388
0.333 0.667 0.945
0.667 0.333 0.055
0.667 0.333 0.612
0.000 0.000 0.500
0.333 0.667 0.167
0.667 0.333 0.833
```

As for the symmetry: No. 166. As for the magnetization: 0.000 μB per atom.

---

Arrangement B

Here is a geometry-optimized AcAs2Au structure from the Alexandria database. Energies are from PBE-GGA.

Geometry as POSCAR:
```
AcAs2Au
1.0
0.000 10.710 3.025
3.029 0.000 3.025
3.029 10.710 0.000
Ac As Au
2 4 2
Direct
0.118 0.882 0.118
0.882 0.118 0.882
0.333 0.668 0.332
0.513 0.937 0.487
0.668 0.333 0.667
0.937 0.513 0.063
0.255 0.255 0.245
0.755 0.755 0.745
```

As for the symmetry: No. 42. As for the magnetization: 0.000 μB per atom.

---

Arrangement C

Here is a geometry-optimized AcAs2Au structure from the Alexandria database. Energies are from PBE-GGA.

Geometry as POSCAR:
```
AcAs2Au
1.0
4.265 0.000 0.000
0.000 4.265 0.000
0.000 0.000 10.754
Ac As Au
2 4 2
Direct
0.250 0.250 0.236
0.750 0.750 0.764
0.250 0.250 0.664
0.250 0.750 0.000
0.750 0.250 0.000
0.750 0.750 0.336
0.250 0.750 0.500
0.750 0.250 0.500
```

As for the symmetry: No. 129. As for the magnetization: 0.000 μB per atom.

---

Arrangement D

Here is a geometry-optimized AcAs2Au structure from the Alexandria database. Energies are from PBE-GGA.

Geometry as POSCAR:
```
AcAs2Au
1.0
4.042 0.000 0.000
0.000 4.042 0.000
0.000 0.000 6.171
Ac As Au
1 2 1
Direct
0.000 0.000 0.000
0.500 0.500 0.296
0.500 0.500 0.704
0.000 0.000 0.500
```

As for the symmetry: No. 123. As for the magnetization: 0.000 μB per atom.

---

The least stable of them is arrangement D.